# 1
# Ba8Pd2N, relaxed, DFT PBE
data_Ba8Pd2N
_cell_length_a 8.0005
_cell_length_b 8.0005
_cell_length_c 9.2643
_cell_angle_alpha 90.00
_cell_angle_beta 90.00
_cell_angle_gamma 120.00
_symmetry_space_group_name_H-M 'P -3 m 1'
_symmetry_Int_Tables_number 164
_symmetry_space_group_name_Hall '-P 3 2"'
loop_
_atom_site_label
_atom_site_fract_x
_atom_site_fract_y
_atom_site_fract_z
_atom_site_occupancy
Ba1 0.1632 0.3264 0.3346 1
Ba2 0.3333 0.6667 0.9032 1
Pd1 0.3333 0.6667 0.5809 1
N1 0.0000 0.0000 0.5000 1
# Density, g/cm3: 4.286
# Calculated volume, Å³/cell: 513.5
# Raw formation energy, meV per atom: -211
# DOS at the Fermi energy, states/eV/cell: 12.71
# Total DFT energy (no corrections), eV per atom: -3.31

---

# 2
# CsCd2AsRh, relaxed, DFT PBE
data_CsCd2AsRh
_cell_length_a 5.398
_cell_length_b 5.398
_cell_length_c 4.812
_cell_angle_alpha 90.00
_cell_angle_beta 90.00
_cell_angle_gamma 90.00
_symmetry_space_group_name_H-M 'P 4/m m m'
_symmetry_Int_Tables_number 123
_symmetry_space_group_name_Hall '-P 4 2'
loop_
_atom_site_label
_atom_site_fract_x
_atom_site_fract_y
_atom_site_fract_z
_atom_site_occupancy
Cs1 0.000 0.000 0.000 1
Cd1 0.000 0.500 0.500 1
As1 0.500 0.500 0.000 1
Rh1 0.500 0.500 0.500 1
# Density, g/cm3: 6.343
# Calculated volume, Å³/cell: 140.2
# Energy of formation from the pure elements, eV per atom: -0.1316
# DOS at the Fermi energy, states/eV/cell: 3.96
# Total DFT energy (no corrections), eV per atom: -3.07

---

# 3
# Si2AsBr2, relaxed, DFT PBE
data_Si2AsBr2
_cell_length_a 8.925
_cell_length_b 8.925
_cell_length_c 3.163
_cell_angle_alpha 90.00
_cell_angle_beta 90.00
_cell_angle_gamma 90.00
_symmetry_space_group_name_H-M 'P 4/m b m'
_symmetry_Int_Tables_number 127
_symmetry_space_group_name_Hall '-P 4 2ab'
loop_
_atom_site_label
_atom_site_fract_x
_atom_site_fract_y
_atom_site_fract_z
_atom_site_occupancy
Si1 0.225 0.275 0.000 1
As1 0.000 0.000 0.500 1
Br1 0.123 0.623 0.500 1
# Density, g/cm3: 3.835
# Calculated volume, Å³/cell: 252.0
# Raw formation energy, meV per atom: 689
# DOS at the Fermi energy, states/eV/cell: 4.29
# Total DFT energy (no corrections), eV per atom: -3.08
# Excess energy over the best structure of this formula in the dataset, eV/atom: 0.0000

---

# 4
# LaTa, relaxed, DFT PBE
data_LaTa
_cell_length_a 11.094
_cell_length_b 11.094
_cell_length_c 3.458
_cell_angle_alpha 90.00
_cell_angle_beta 90.00
_cell_angle_gamma 90.00
_symmetry_space_group_name_H-M 'I 4/m m m'
_symmetry_Int_Tables_number 139
_symmetry_space_group_name_Hall '-I 4 2'
loop_
_atom_site_label
_atom_site_fract_x
_atom_site_fract_y
_atom_site_fract_z
_atom_site_occupancy
La1 0.148 0.148 0.000 1
Ta1 0.000 0.362 0.500 1
# Density, g/cm3: 9.982
# Calculated volume, Å³/cell: 425.7
# Energy of formation from the pure elements, eV per atom: 0.3133
# DOS at the Fermi energy, states/eV/cell: 20.65
# Total DFT energy (no corrections), eV per atom: -8.08
# Excess energy over the best structure of this formula in the dataset, eV/atom: 0.0340

---

# 5
# Sr2MnP2, relaxed, DFT PBE
data_Sr2MnP2
_cell_length_a 6.603
_cell_length_b 12.539
_cell_length_c 5.906
_cell_angle_alpha 90.00
_cell_angle_beta 90.00
_cell_angle_gamma 90.00
_symmetry_space_group_name_H-M 'I b a m'
_symmetry_Int_Tables_number 72
_symmetry_space_group_name_Hall '-I 2 2c'
loop_
_atom_site_label
_atom_site_fract_x
_atom_site_fract_y
_atom_site_fract_z
_atom_site_occupancy
Sr1 0.184 0.144 0.000 1
Mn1 0.000 0.500 0.250 1
P1 0.198 0.396 0.000 1
# Density, g/cm3: 3.968
# Calculated volume, Å³/cell: 489.0
# Energy of formation from the pure elements, eV per atom: -0.8020
# DOS at the Fermi energy, states/eV/cell: 14.14
# Total DFT energy (no corrections), eV per atom: -5.47

---

# 6
# CdP2Au, relaxed, DFT PBE
data_CdP2Au
_cell_length_a 5.874
_cell_length_b 3.375
_cell_length_c 7.665
_cell_angle_alpha 90.00
_cell_angle_beta 104.53
_cell_angle_gamma 90.00
_symmetry_space_group_name_H-M 'C 1 m 1'
_symmetry_Int_Tables_number 8
loop_
_symmetry_equiv_pos_as_xyz
'x,y,z'
'x,-y,z'
'x+1/2,y+1/2,z'
'x+1/2,-y+1/2,z'
loop_
_atom_site_label
_atom_site_fract_x
_atom_site_fract_y
_atom_site_fract_z
_atom_site_occupancy
Cd1 0.000 0.000 0.000 1
P1 0.010 0.500 0.533 1
P2 0.233 0.000 0.706 1
Au1 0.260 0.500 0.283 1
# Density, g/cm3: 8.383
# Calculated volume, Å³/cell: 147.1
# Energy of formation from the pure elements, eV per atom: 0.0773
# DOS at the Fermi energy, states/eV/cell: 3.53
# Total DFT energy (no corrections), eV per atom: -3.68

---

# 7
# MnTl2Se, relaxed, DFT PBE
data_MnTl2Se
_cell_length_a 4.731
_cell_length_b 4.731
_cell_length_c 4.456
_cell_angle_alpha 90.00
_cell_angle_beta 90.00
_cell_angle_gamma 90.00
_symmetry_space_group_name_H-M 'P 4/m m m'
_symmetry_Int_Tables_number 123
_symmetry_space_group_name_Hall '-P 4 2'
loop_
_atom_site_label
_atom_site_fract_x
_atom_site_fract_y
_atom_site_fract_z
_atom_site_occupancy
Mn1 0.000 0.000 0.000 1
Tl1 0.000 0.500 0.500 1
Se1 0.500 0.500 0.000 1
# Density, g/cm3: 9.035
# Calculated volume, Å³/cell: 99.7
# Raw formation energy, meV per atom: 220
# DOS at the Fermi energy, states/eV/cell: 1.88
# Total DFT energy (no corrections), eV per atom: -4.13
# Excess energy over the best structure of this formula in the dataset, eV/atom: 0.2746

---

# 8
# Ca3Bi5Se12, relaxed, DFT PBE
data_Ca3Bi5Se12
_cell_length_a 17.230
_cell_length_b 17.230
_cell_length_c 17.230
_cell_angle_alpha 90.00
_cell_angle_beta 90.00
_cell_angle_gamma 90.00
_symmetry_space_group_name_H-M 'I a -3 d'
_symmetry_Int_Tables_number 230
_symmetry_space_group_name_Hall '-I 4bd 2c 3'
loop_
_atom_site_label
_atom_site_fract_x
_atom_site_fract_y
_atom_site_fract_z
_atom_site_occupancy
Ca1 0.000 0.250 0.125 1
Bi1 0.000 0.000 0.000 1
Bi2 0.000 0.250 0.375 1
Se1 0.016 0.068 0.654 1
# Density, g/cm3: 5.487
# Calculated volume, Å³/cell: 5114.9
# Raw formation energy, meV per atom: -666
# DOS at the Fermi energy, states/eV/cell: 61.06
# Total DFT energy (no corrections), eV per atom: -4.03

---

# 9
# Cr2Cd, relaxed, DFT PBE
data_Cr2Cd
_cell_length_a 4.3247
_cell_length_b 4.3247
_cell_length_c 2.6386
_cell_angle_alpha 90.00
_cell_angle_beta 90.00
_cell_angle_gamma 120.00
_symmetry_space_group_name_H-M 'P -3 m 1'
_symmetry_Int_Tables_number 164
_symmetry_space_group_name_Hall '-P 3 2"'
loop_
_atom_site_label
_atom_site_fract_x
_atom_site_fract_y
_atom_site_fract_z
_atom_site_occupancy
Cr1 0.3333 0.6667 0.3977 1
Cd1 0.0000 0.0000 0.0000 1
# Density, g/cm3: 8.408
# Calculated volume, Å³/cell: 42.7
# Energy of formation from the pure elements, eV per atom: 0.5788
# DOS at the Fermi energy, states/eV/cell: 1.39
# Total DFT energy (no corrections), eV per atom: -6.14

---

# 10
# Ca3SiRh2, relaxed, DFT PBE
data_Ca3SiRh2
_cell_length_a 15.919
_cell_length_b 3.737
_cell_length_c 4.805
_cell_angle_alpha 90.00
_cell_angle_beta 107.48
_cell_angle_gamma 90.00
_symmetry_space_group_name_H-M 'C 1 2/m 1'
_symmetry_Int_Tables_number 12
loop_
_symmetry_equiv_pos_as_xyz
'x,y,z'
'-x,-y,-z'
'-x,y,-z'
'x,-y,z'
'x+1/2,y+1/2,z'
'-x+1/2,-y+1/2,-z'
'-x+1/2,y+1/2,-z'
'x+1/2,-y+1/2,z'
loop_
_atom_site_label
_atom_site_fract_x
_atom_site_fract_y
_atom_site_fract_z
_atom_site_occupancy
Ca1 0.000 0.000 0.000 1
Ca2 0.186 0.500 0.186 1
Si1 0.000 0.500 0.500 1
Rh1 0.102 0.000 0.602 1
# Density, g/cm3: 4.314
# Calculated volume, Å³/cell: 272.6
# Raw formation energy, meV per atom: -490
# DOS at the Fermi energy, states/eV/cell: 4.20
# Total DFT energy (no corrections), eV per atom: -4.85